No. 1
Entry from Alexandria: NpTeIr after structural relaxation (PBE-GGA).

Lattice parameters (Å, degrees): 6.6064 6.6064 6.6064 90.00 90.00 90.00
Last column: nearest neighbours and their distance in Å.
Space group F-43m (No. 216)
Symmetry-distinct sites (fractional):
Np 0.0000 0.0000 0.0000  4 Ir 2.86
Te 0.0000 0.0000 0.5000  4 Ir 2.86
Ir 0.2500 0.2500 0.2500  4 Te 2.86, 4 Np 2.86

Summary:
formation energy without anion corrections = -0.32 eV/atom
total energy = -8.63 eV/atom
total magnetic moment = 3.946 μB per formula unit
distance to the lowest polymorph of the same formula = 0.103 eV/atom

***

No. 2
Entry from Alexandria: Th2NpIr9 after structural relaxation (PBE-GGA).

Lattice parameters (Å, degrees): 5.3428 5.3428 26.7101 90.00 90.00 120.00
Last column: nearest neighbours and their distance in Å.
Space group R-3m (No. 166, hexagonal axes)
Symmetry-distinct sites (fractional):
Th 0.0000 0.0000 0.1378  12 Ir 3.07-3.42
Np 0.0000 0.0000 0.0000  18 Ir 3.08-3.44
Ir 0.0000 0.0000 0.3333  6 Ir 2.66-2.67
Ir 0.0000 0.0000 0.5000  6 Ir 2.75
Ir 0.9997 0.4998 0.0813  7 Ir 2.66-2.75

Summary:
formation energy from the elements = -50.8 kJ/mol of atoms
total energy = -9.49 eV/atom
total magnetic moment = 3.098 μB per formula unit

***

No. 3
Entry from Alexandria: ThNpIr after structural relaxation (PBE-GGA).

Lattice parameters (Å, degrees): 4.6890 3.7049 7.7931 90.00 90.00 90.00
Last column: nearest neighbours and their distance in Å.
Space group Pmma (No. 51)
Symmetry-distinct sites (fractional):
Th 0.2500 0.0000 0.1842  6 Ir 3.01-3.10, 4 Np 3.30
Np 0.0000 0.5000 0.5000  2 Np 2.34
Ir 0.2500 0.5000 0.8655  6 Th 3.01-3.10, 2 Np 3.08, 2 Ir 3.15

Summary:
formation energy from the elements = -10.5 kJ/mol of atoms
total energy = -9.85 eV/atom
total magnetic moment = 0.900 μB per formula unit

***

No. 4
Entry from Alexandria: Th3NpIr8 after structural relaxation (PBE-GGA).

Lattice parameters (Å, degrees): 5.4269 5.4269 26.5981 90.00 90.00 120.00
Last column: nearest neighbours and their distance in Å.
Space group R3m (No. 160, hexagonal axes)
Symmetry-distinct sites (fractional):
Th 0.0000 0.0000 0.0000  12 Ir 3.18-3.22, 4 Th 3.36
Th 0.0000 0.0000 0.1263  12 Ir 3.12-3.20, 3 Np 3.29, 1 Th 3.36
Th 0.0000 0.0000 0.6211  12 Ir 3.15-3.27, 1 Np 3.27, 3 Th 3.36
Np 0.0000 0.0000 0.4980  12 Ir 3.14-3.19, 4 Th 3.27-3.29
Ir 0.0000 0.0000 0.3117  6 Ir 2.72-2.73
Ir 0.0000 0.0000 0.8120  6 Ir 2.69-2.71
Ir 0.0008 0.5004 0.0622  6 Ir 2.71-2.72
Ir 0.0008 0.5004 0.5610  6 Ir 2.69-2.73

Summary:
formation energy from the elements = -69.5 kJ/mol of atoms
total energy = -9.56 eV/atom
total magnetic moment = 3.776 μB per formula unit